First-principles (PBE) data for a relaxed Cs2HfNbS6 crystal, as listed in the Open Quantum Materials Database.

a = 7.079 Å, b = 7.079 Å, c = 7.079 Å
α = 60.00°, β = 60.00°, γ = 90.00°
Fractional coordinates of all 10 atoms:
Cs: 0.750 0.250 0.500
Cs: 0.250 0.750 0.500
S: 0.747 0.253 0.000
S: 0.253 0.253 0.000
S: 0.253 0.747 0.000
S: 0.747 0.747 0.000
Hf: 0.000 0.000 0.000
S: 0.747 0.747 0.507
Nb: 0.500 0.500 0.000
S: 0.253 0.253 0.493

**Final energy**: -5.716 eV per atom


First-principles (PBE) data for a relaxed CsHfNi crystal, as listed in the Open Quantum Materials Database.

a = 4.722 Å, b = 4.722 Å, c = 4.722 Å
α = 60.00°, β = 60.00°, γ = 60.00°
Fractional coordinates of all 3 atoms:
Hf: 0.000 0.000 0.000
Ni: 0.750 0.750 0.750
Cs: 0.250 0.250 0.250

**Final energy**: -3.900 eV per atom


First-principles (PBE) data for a relaxed CsHfNi crystal, as listed in the Open Quantum Materials Database.

a = 4.858 Å, b = 4.858 Å, c = 4.858 Å
α = 60.00°, β = 60.00°, γ = 60.00°
Fractional coordinates of all 3 atoms:
Hf: 0.750 0.750 0.750
Ni: 0.000 0.000 0.000
Cs: 0.250 0.250 0.250

**Final energy**: -4.048 eV per atom